Version a
Below is Y2ScPd2 at its PBEsol-relaxed geometry, with properties calculated at the SCAN level.

a b c (Å): 7.4151 7.4151 3.9809
angles (deg): 90.00 90.00 90.00
Last column: nearest neighbours and their distance in Å.
Sites, in units of the cell vectors:
Y 0.1693 0.3307 0.0000  6 Pd 2.87-3.01
Y 0.3307 0.8307 0.0000  6 Pd 2.87-3.01
Y 0.6693 0.1693 0.0000  6 Pd 2.87-3.01
Y 0.8307 0.6693 0.0000  6 Pd 2.87-3.01
Sc 0.0000 0.0000 0.5000  4 Pd 2.89
Sc 0.5000 0.5000 0.5000  4 Pd 2.89
Pd 0.1337 0.6337 0.5000  1 Pd 2.80, 6 Y 2.87-3.01, 2 Sc 2.89
Pd 0.3663 0.1337 0.5000  1 Pd 2.80, 6 Y 2.87-3.01, 2 Sc 2.89
Pd 0.6337 0.8663 0.5000  1 Pd 2.80, 6 Y 2.87-3.01, 2 Sc 2.89
Pd 0.8663 0.3663 0.5000  1 Pd 2.80, 6 Y 2.87-3.01, 2 Sc 2.89

Summary:
Magnetization in Bohr magnetons per cell: 0.00



Version b
Below is Y2ScPd2 at its PBEsol-relaxed geometry, with properties calculated at the SCAN level.

a b c (Å): 8.1373 8.1373 8.1373
angles (deg): 152.00 152.00 40.02
Last column: nearest neighbours and their distance in Å.
Sites, in units of the cell vectors:
Y 0.1203 0.1203 0.0000  4 Pd 2.79
Y 0.8797 0.8797 0.0000  4 Pd 2.79
Sc 0.5000 0.5000 0.0000  8 Y 3.34
Pd 0.2500 0.7500 0.5000  4 Pd 2.78, 4 Y 2.79
Pd 0.7500 0.2500 0.5000  4 Pd 2.78, 4 Y 2.79

Summary:
Magnetization in Bohr magnetons per cell: 0.00



version a is favored, and the nearest alternative lies 521 meV/atom above it.



Version a
Below is TaTe3Pd at its PBEsol-relaxed geometry, with properties calculated at the SCAN level.

a b c (Å): 5.2976 5.2976 5.2976
angles (deg): 90.00 90.00 90.00
Last column: nearest neighbours and their distance in Å.
Sites, in units of the cell vectors:
Ta 0.0000 0.0000 0.0000  6 Te 2.65
Te 0.0000 0.0000 0.5000  2 Ta 2.65
Te 0.0000 0.5000 0.0000  2 Ta 2.65
Te 0.5000 0.0000 0.0000  2 Ta 2.65
Pd 0.5000 0.5000 0.5000  12 Te 3.75

Summary:
Magnetization in Bohr magnetons per cell: 0.00



Version b
Below is TaTe3Pd at its PBEsol-relaxed geometry, with properties calculated at the SCAN level.

a b c (Å): 5.0984 5.0984 5.0984
angles (deg): 90.00 90.00 90.00
Last column: nearest neighbours and their distance in Å.
Sites, in units of the cell vectors:
Ta 0.0000 0.0000 0.0000  12 Te 3.61
Te 0.0000 0.5000 0.5000  2 Pd 2.55
Te 0.5000 0.0000 0.5000  2 Pd 2.55
Te 0.5000 0.5000 0.0000  2 Pd 2.55
Pd 0.5000 0.5000 0.5000  6 Te 2.55

Summary:
Magnetization in Bohr magnetons per cell: 1.91



version a is favored, and the nearest alternative lies 276 meV/atom above it.



Version a
Below is Tc3Pd at its PBEsol-relaxed geometry, with properties calculated at the SCAN level.

a b c (Å): 2.7135 2.7135 8.8028
angles (deg): 90.00 90.00 120.00
Last column: nearest neighbours and their distance in Å.
Sites, in units of the cell vectors:
Tc 0.0000 0.0000 0.0000  12 Tc 2.66-2.71
Tc 0.6667 0.3333 0.2444  9 Tc 2.66-2.71, 3 Pd 2.74
Tc 0.6667 0.3333 0.7556  9 Tc 2.66-2.71, 3 Pd 2.74
Pd 0.0000 0.0000 0.5000  6 Pd 2.71, 6 Tc 2.74

Summary:
Magnetization in Bohr magnetons per cell: 0.00



Version b
Below is Tc3Pd at its PBEsol-relaxed geometry, with properties calculated at the SCAN level.

a b c (Å): 9.0554 9.0554 9.0554
angles (deg): 17.14 17.14 17.14
Last column: nearest neighbours and their distance in Å.
Sites, in units of the cell vectors:
Tc 0.0000 0.0000 0.0000  12 Tc 2.68-2.70
Tc 0.2521 0.2521 0.2521  9 Tc 2.68-2.70, 3 Pd 2.77
Tc 0.7479 0.7479 0.7479  9 Tc 2.68-2.70, 3 Pd 2.77
Pd 0.5000 0.5000 0.5000  6 Pd 2.70, 6 Tc 2.77

Summary:
Magnetization in Bohr magnetons per cell: 0.00



Version c
Below is Tc3Pd at its PBEsol-relaxed geometry, with properties calculated at the SCAN level.

a b c (Å): 5.4540 5.4540 4.3319
angles (deg): 90.00 90.00 120.00
Last column: nearest neighbours and their distance in Å.
Sites, in units of the cell vectors:
Tc 0.1590 0.3179 0.2500  8 Tc 2.60-2.85, 4 Pd 2.72-2.73
Tc 0.1590 0.8410 0.2500  8 Tc 2.60-2.85, 4 Pd 2.72-2.73
Tc 0.3179 0.1590 0.7500  8 Tc 2.60-2.85, 4 Pd 2.72-2.73
Tc 0.6821 0.8410 0.2500  8 Tc 2.60-2.85, 4 Pd 2.72-2.73
Tc 0.8410 0.1590 0.7500  8 Tc 2.60-2.85, 4 Pd 2.72-2.73
Tc 0.8410 0.6821 0.7500  8 Tc 2.60-2.85, 4 Pd 2.72-2.73
Pd 0.3333 0.6667 0.7500  12 Tc 2.72-2.73
Pd 0.6667 0.3333 0.2500  12 Tc 2.72-2.73

Summary:
Magnetization in Bohr magnetons per cell: 0.00



version c is favored, and the nearest alternative lies 120 meV/atom above it.



Version a
Below is Y2TePd2 at its PBEsol-relaxed geometry, with properties calculated at the SCAN level.

a b c (Å): 8.2880 8.2880 8.2880
angles (deg): 153.25 153.25 38.19
Last column: nearest neighbours and their distance in Å.
Sites, in units of the cell vectors:
Y 0.1188 0.1188 0.0000  4 Pd 2.81
Y 0.8812 0.8812 0.0000  4 Pd 2.81
Te 0.5000 0.5000 0.0000  8 Y 3.29
Pd 0.2500 0.7500 0.5000  4 Pd 2.71, 4 Y 2.81
Pd 0.7500 0.2500 0.5000  4 Pd 2.71, 4 Y 2.81

Summary:
Magnetization in Bohr magnetons per cell: 0.00



Version b
Below is Y2TePd2 at its PBEsol-relaxed geometry, with properties calculated at the SCAN level.

a b c (Å): 7.5543 7.5543 3.7755
angles (deg): 90.00 90.00 90.00
Last column: nearest neighbours and their distance in Å.
Sites, in units of the cell vectors:
Y 0.1720 0.3280 0.0000  6 Pd 2.87-2.96
Y 0.3280 0.8280 0.0000  6 Pd 2.87-2.96
Y 0.6720 0.1720 0.0000  6 Pd 2.87-2.96
Y 0.8280 0.6720 0.0000  6 Pd 2.87-2.96
Te 0.0000 0.0000 0.5000  4 Pd 2.98
Te 0.5000 0.5000 0.5000  4 Pd 2.98
Pd 0.1259 0.6259 0.5000  1 Pd 2.69, 6 Y 2.87-2.96, 2 Te 2.98
Pd 0.3741 0.1259 0.5000  1 Pd 2.69, 6 Y 2.87-2.96, 2 Te 2.98
Pd 0.6259 0.8741 0.5000  1 Pd 2.69, 6 Y 2.87-2.96, 2 Te 2.98
Pd 0.8741 0.3741 0.5000  1 Pd 2.69, 6 Y 2.87-2.96, 2 Te 2.98

Summary:
Magnetization in Bohr magnetons per cell: 0.00



version b is favored, and the nearest alternative lies 155 meV/atom above it.